No. 1
! Cr2B2Br PBE relaxed; values from VASP
! final energy	-6.135	eV/atom
! space-group type	I4/mmm, No. 139
! ΔE_f (raw)	719	meV/atom
! V	11.23	Å³ per atom
! distance to the lowest polymorph of the same formula	26.6	meV/atom
! total moment	0.0	Bohr magnetons per cell
&SYSTEM
  ibrav = 0, nat = 5, ntyp = 3
/
ATOMIC_SPECIES
Cr 52.00 Cr.upf
B 10.81 B.upf
Br 79.90 Br.upf
CELL_PARAMETERS angstrom
3.972 0.000 0.000
0.000 3.972 0.000
1.986 1.986 3.558
ATOMIC_POSITIONS crystal
Cr 0.250 0.750 0.500
Cr 0.750 0.250 0.500
B 0.379 0.379 0.243
B 0.621 0.621 0.757
Br 0.000 0.000 0.000



No. 2
! Cr2B2Br PBE relaxed; values from VASP
! final energy	-6.162	eV/atom
! space-group type	P4/mbm, No. 127
! ΔE_f (raw)	693	meV/atom
! V	10.47	Å³ per atom
! distance to the lowest polymorph of the same formula	0.0	meV/atom
! total moment	0.0	Bohr magnetons per cell
&SYSTEM
  ibrav = 0, nat = 10, ntyp = 3
/
ATOMIC_SPECIES
Cr 52.00 Cr.upf
Br 79.90 Br.upf
B 10.81 B.upf
CELL_PARAMETERS angstrom
-4.850 3.096 -1.793
-0.203 -3.255 -5.069
-1.707 -1.921 1.302
ATOMIC_POSITIONS crystal
Cr 0.173 0.673 0.500
Cr 0.827 0.327 0.500
Cr 0.327 0.173 0.500
Cr 0.673 0.827 0.500
Br 0.500 0.500 0.000
Br 0.000 0.000 0.000
B 0.901 0.599 0.000
B 0.099 0.401 0.000
B 0.599 0.099 0.000
B 0.401 0.901 0.000



No. 3
! Cr3BBr PBE relaxed; values from VASP
! final energy	-5.271	eV/atom
! space-group type	Pm-3m, No. 221
! ΔE_f (raw)	2173	meV/atom
! V	15.73	Å³ per atom
! distance to the lowest polymorph of the same formula	1281.7	meV/atom
! total moment	1.7	Bohr magnetons per cell
&SYSTEM
  ibrav = 0, nat = 5, ntyp = 3
/
ATOMIC_SPECIES
Cr 52.00 Cr.upf
Br 79.90 Br.upf
B 10.81 B.upf
CELL_PARAMETERS angstrom
4.285 0.000 0.000
0.000 4.285 0.000
0.000 0.000 4.285
ATOMIC_POSITIONS crystal
Cr 0.500 0.000 0.000
Cr 0.000 0.500 0.000
Cr 0.000 0.000 0.500
Br 0.000 0.000 0.000
B 0.500 0.500 0.500



No. 4
! Cs2CrBBr6 PBE relaxed; values from VASP
! final energy	-3.514	eV/atom
! space-group type	I4/mmm, No. 139
! ΔE_f (raw)	-710	meV/atom
! V	30.31	Å³ per atom
! total moment	3.0	Bohr magnetons per cell
&SYSTEM
  ibrav = 0, nat = 10, ntyp = 4
/
ATOMIC_SPECIES
Cr 52.00 Cr.upf
Br 79.90 Br.upf
Cs 132.91 Cs.upf
B 10.81 B.upf
CELL_PARAMETERS angstrom
-5.461 -5.188 0.202
2.185 -2.031 6.920
-4.974 -0.017 5.669
ATOMIC_POSITIONS crystal
Cr 0.000 0.000 0.000
Br 0.759 0.241 0.000
Br 0.759 0.759 0.482
Br 0.241 0.241 0.518
Br 0.759 0.759 0.000
Br 0.241 0.759 0.000
Br 0.241 0.241 0.000
Cs 0.750 0.250 0.500
Cs 0.250 0.750 0.500
B 0.500 0.500 0.000



No. 5
! CrGaBBr2 PBE relaxed; values from VASP
! final energy	-3.259	eV/atom
! space-group type	P4/mmm, No. 123
! ΔE_f (raw)	1276	meV/atom
! V	29.72	Å³ per atom
! total moment	5.5	Bohr magnetons per cell
&SYSTEM
  ibrav = 0, nat = 5, ntyp = 4
/
ATOMIC_SPECIES
Br 79.90 Br.upf
Cr 52.00 Cr.upf
B 10.81 B.upf
Ga 69.72 Ga.upf
CELL_PARAMETERS angstrom
5.403 0.000 0.000
0.000 5.090 0.000
0.000 0.000 5.403
ATOMIC_POSITIONS crystal
Br 0.500 0.000 0.000
Br 0.000 0.000 0.500
Cr 0.000 0.500 0.000
B 0.500 0.500 0.500
Ga 0.000 0.000 0.000



No. 6
! Cr2BBrN PBE relaxed; values from VASP
! final energy	-6.597	eV/atom
! space-group type	P4/mmm, No. 123
! ΔE_f (raw)	588	meV/atom
! V	11.87	Å³ per atom
! total moment	5.8	Bohr magnetons per cell
&SYSTEM
  ibrav = 0, nat = 5, ntyp = 4
/
ATOMIC_SPECIES
B 10.81 B.upf
Cr 52.00 Cr.upf
N 14.01 N.upf
Br 79.90 Br.upf
CELL_PARAMETERS angstrom
-3.296 -2.171 2.141
2.186 0.516 3.888
-1.394 2.555 0.445
ATOMIC_POSITIONS crystal
B 0.000 0.000 0.500
Cr 0.500 0.000 0.000
Cr 0.000 0.500 0.000
N 0.000 0.000 0.000
Br 0.500 0.500 0.500



No. 7
! Rb2CrBBr6 PBE relaxed; values from VASP
! final energy	-3.514	eV/atom
! space-group type	Fm-3m, No. 225
! ΔE_f (raw)	-687	meV/atom
! V	28.90	Å³ per atom
! total moment	3.0	Bohr magnetons per cell
&SYSTEM
  ibrav = 0, nat = 10, ntyp = 4
/
ATOMIC_SPECIES
Br 79.90 Br.upf
Rb 85.47 Rb.upf
Cr 52.00 Cr.upf
B 10.81 B.upf
CELL_PARAMETERS angstrom
7.417 0.000 0.000
0.000 7.417 0.000
3.709 3.709 5.252
ATOMIC_POSITIONS crystal
Br 0.756 0.244 0.000
Br 0.244 0.244 0.513
Br 0.756 0.756 0.000
Br 0.756 0.756 0.487
Br 0.244 0.244 0.000
Br 0.244 0.756 0.000
Rb 0.250 0.750 0.500
Rb 0.750 0.250 0.500
Cr 0.000 0.000 0.000
B 0.500 0.500 0.000



No. 8
! ScCrB2Br PBE relaxed; values from VASP
! final energy	-4.330	eV/atom
! space-group type	P4/mmm, No. 123
! ΔE_f (raw)	1866	meV/atom
! V	19.54	Å³ per atom
! total moment	0.1	Bohr magnetons per cell
&SYSTEM
  ibrav = 0, nat = 5, ntyp = 4
/
ATOMIC_SPECIES
Cr 52.00 Cr.upf
B 10.81 B.upf
Br 79.90 Br.upf
Sc 44.96 Sc.upf
CELL_PARAMETERS angstrom
-1.701 -3.182 -2.528
4.494 -0.686 -2.160
1.021 -2.987 3.073
ATOMIC_POSITIONS crystal
Cr 0.500 0.500 0.500
B 0.000 0.000 0.500
B 0.500 0.000 0.000
Br 0.000 0.500 0.000
Sc 0.000 0.000 0.000



No. 9
! CrBSeBr2 PBE relaxed; values from VASP
! final energy	-3.875	eV/atom
! space-group type	P4/mmm, No. 123
! ΔE_f (raw)	751	meV/atom
! V	25.33	Å³ per atom
! distance to the lowest polymorph of the same formula	47.6	meV/atom
! total moment	3.0	Bohr magnetons per cell
&SYSTEM
  ibrav = 0, nat = 5, ntyp = 4
/
ATOMIC_SPECIES
Cr 52.00 Cr.upf
Br 79.90 Br.upf
Se 78.96 Se.upf
B 10.81 B.upf
CELL_PARAMETERS angstrom
5.130 0.000 0.000
0.000 5.130 0.000
0.000 0.000 4.813
ATOMIC_POSITIONS crystal
Cr 0.000 0.000 0.000
Br 0.500 0.000 0.000
Br 0.000 0.500 0.000
Se 0.000 0.000 0.500
B 0.500 0.500 0.500



No. 10
! CrBSeBr2 PBE relaxed; values from VASP
! final energy	-3.923	eV/atom
! space-group type	P4/mmm, No. 123
! ΔE_f (raw)	703	meV/atom
! V	20.21	Å³ per atom
! distance to the lowest polymorph of the same formula	0.0	meV/atom
! total moment	4.1	Bohr magnetons per cell
&SYSTEM
  ibrav = 0, nat = 5, ntyp = 4
/
ATOMIC_SPECIES
Br 79.90 Br.upf
B 10.81 B.upf
Cr 52.00 Cr.upf
Se 78.96 Se.upf
CELL_PARAMETERS angstrom
-1.213 -2.912 -3.363
0.126 -3.507 2.991
-4.584 0.716 1.033
ATOMIC_POSITIONS crystal
Br 0.000 0.500 0.000
Br 0.500 0.000 0.000
B 0.000 0.000 0.000
Cr 0.500 0.500 0.500
Se 0.000 0.000 0.500



No. 11
! SrCr2BBr PBE relaxed; values from VASP
! final energy	-5.532	eV/atom
! space-group type	P4/mmm, No. 123
! ΔE_f (raw)	323	meV/atom
! V	23.61	Å³ per atom
! total moment	7.9	Bohr magnetons per cell
&SYSTEM
  ibrav = 0, nat = 5, ntyp = 4
/
ATOMIC_SPECIES
B 10.81 B.upf
Sr 87.62 Sr.upf
Cr 52.00 Cr.upf
Br 79.90 Br.upf
CELL_PARAMETERS angstrom
4.265 0.000 0.000
0.000 6.492 0.000
0.000 0.000 4.265
ATOMIC_POSITIONS crystal
B 0.000 0.000 0.000
Sr 0.500 0.500 0.500
Cr 0.500 0.000 0.000
Cr 0.000 0.000 0.500
Br 0.000 0.500 0.000



No. 12
! CsB3Br PBE relaxed; values from VASP
! final energy	-2.093	eV/atom
! space-group type	Pm-3m, No. 221
! ΔE_f (raw)	2419	meV/atom
! V	26.55	Å³ per atom
! distance to the lowest polymorph of the same formula	0.0	meV/atom
! total moment	0.0	Bohr magnetons per cell
&SYSTEM
  ibrav = 0, nat = 5, ntyp = 3
/
ATOMIC_SPECIES
B 10.81 B.upf
Cs 132.91 Cs.upf
Br 79.90 Br.upf
CELL_PARAMETERS angstrom
5.101 0.000 0.000
0.000 5.101 0.000
0.000 0.000 5.101
ATOMIC_POSITIONS crystal
B 0.000 0.500 0.000
B 0.000 0.000 0.500
B 0.500 0.000 0.000
Cs 0.500 0.500 0.500
Br 0.000 0.000 0.000